Entry 1:
This record from Alexandria via LeMat-Bulk describes a relaxed UCo2Ni crystal. The functional is PBE.

## Properties
Space-group type: R-3m (166)
Formation energy: -0.03 eV/atom

abc: 4.376 4.376 4.376
angles: 57.19 57.19 57.19
Fractional positions:
1 U 0.000 0.000 0.000
2 Co 0.274 0.274 0.274
3 Co 0.726 0.726 0.726
4 Ni 0.500 0.500 0.500

Entry 2:
This record from Alexandria via LeMat-Bulk describes a relaxed PuScSnPb crystal. The functional is PBE.

## Properties
Space-group type: F-43m (216)
Formation energy: -0.28 eV/atom

abc: 5.261 5.261 5.261
angles: 60.00 60.00 60.00
Fractional positions:
1 Pu 0.000 0.000 0.000
2 Sc 0.500 0.500 0.500
3 Sn 0.750 0.750 0.750
4 Pb 0.250 0.250 0.250

Entry 3:
This record from Alexandria via LeMat-Bulk describes a relaxed LaBeP crystal. The functional is PBE.

## Properties
Space-group type: Immm (71)
Formation energy: -0.87 eV/atom

abc: 7.512 7.512 7.512
angles: 146.97 146.49 47.76
Fractional positions:
1 La 0.149 0.149 0.000
2 La 0.851 0.851 0.000
3 Be 0.500 0.248 0.748
4 Be 0.500 0.752 0.252
5 P 0.363 0.363 0.000
6 P 0.637 0.637 0.000

Entry 4:
This record from Alexandria via LeMat-Bulk describes a relaxed La2TaZn crystal. The functional is PBE.

## Properties
Space-group type: I-4m2 (119)
Formation energy: 0.31 eV/atom

abc: 5.717 5.717 5.717
angles: 132.88 132.88 68.85
Fractional positions:
1 La 0.000 0.000 0.000
2 La 0.750 0.250 0.500
3 Ta 0.250 0.750 0.500
4 Zn 0.500 0.500 0.000